Nd2Co2SiC | meta-GGA SCAN | PBEsol geometry

```
Nd2Co2SiC
1.0
-1.9520 2.9807 4.4180
1.9520 -2.9807 4.4180
1.9520 2.9807 -4.4180
Nd Co Si C
2 2 1 1
direct
0.1915 0.1915 0.0000
0.8085 0.8085 0.0000
0.2947 0.5000 0.7947
0.7053 0.5000 0.2053
0.5000 0.0000 0.5000
0.0000 0.5000 0.5000
```

Properties
Size of the total moment ... 0.56 μB/f.u.
Formation energy from raw total energies ... -432.5 meV/atom